First-principles (PBE) data for crystalline Pr2Ga2Co at its relaxed geometry, as listed in Alexandria.

Cell: 4.4557 5.8339 9.5135 Å, 82.54 76.46 67.55°
Element x y z (fractional)
Pr1 0.6707 0.3309 0.3278
Pr2 0.9131 0.2826 0.8911
Pr3 0.3293 0.6691 0.6722
Pr4 0.0869 0.7174 0.1089
Ga1 0.0938 0.2491 0.5633
Ga2 0.6219 0.8858 0.8704
Ga3 0.9062 0.7509 0.4367
Ga4 0.3781 0.1142 0.1296
Co1 0.6554 0.0731 0.6162
Co2 0.3446 0.9269 0.3838

## Properties
* symmetry: C2/m
* DFT formation energy: -42.8 kJ/mol of atoms
* total energy: -4.9873 eV per atom